1.
The following is a PBE-GGA calculation of crystalline CuBi at its relaxed geometry, from the Alexandria database.

```
8
Lattice="5.6224 0.0000 0.0000 0.0000 5.6224 0.0000 0.0000 0.0000 5.6244" Properties=species:S:1:pos:R:3 pbc="T T T"
Cu 1.4360 4.1864 0.0000
Cu 4.2472 4.2472 2.8122
Cu 1.3752 1.3752 2.8122
Cu 4.1864 1.4360 0.0000
Bi 1.3743 1.3743 0.0000
Bi 4.1855 1.4369 2.8122
Bi 1.4369 4.1855 2.8122
Bi 4.2481 4.2481 0.0000
```

Calculated values
The final energy is -3.732 eV per atom. For the size of the total moment, the calculation gives 0.00 Bohr magnetons per cell. The energy of formation is 0.257 eV per atom.



2.
The following is a PBE-GGA calculation of crystalline CuBi at its relaxed geometry, from the Alexandria database.

```
16
Lattice="-1.9445 -1.0283 -7.6657 -5.2320 -5.6464 2.0846 -5.6961 5.5374 0.7021" Properties=species:S:1:pos:R:3 pbc="T T T"
Cu -1.4609 -0.1291 -0.5537
Cu -9.9086 -0.2133 1.6005
Cu -7.3673 3.3566 -5.9367
Cu -7.0086 -5.2887 -4.8680
Cu -7.8973 -0.6977 -2.9932
Cu -5.4168 -0.6730 -3.6257
Cu -6.1630 -1.7212 -1.4126
Cu -6.2683 0.8173 -1.7264
Bi -3.8243 -0.3379 -1.4494
Bi -8.2593 -0.3821 -0.3185
Bi -6.9251 1.4921 -4.2755
Bi -6.7368 -3.0466 -3.7144
Bi -10.2606 -0.9065 -3.8889
Bi -3.7675 -0.8417 -5.5447
Bi -5.7208 -3.5857 0.2486
Bi -5.9965 3.0594 -0.5728
```

Calculated values
The final energy is -3.506 eV per atom. For the size of the total moment, the calculation gives 0.00 Bohr magnetons per cell. The energy of formation is 0.482 eV per atom.



3.
The following is a PBE-GGA calculation of crystalline CuBi at its relaxed geometry, from the Alexandria database.

```
16
Lattice="9.8111 0.0000 0.0000 0.0000 9.8111 0.0000 0.0000 0.0000 3.9452" Properties=species:S:1:pos:R:3 pbc="T T T"
Cu 4.0872 0.9219 0.0000
Cu 5.7239 8.8893 0.0000
Cu 8.8893 4.0872 0.0000
Cu 0.9219 5.7239 0.0000
Cu 8.9928 5.8274 1.9726
Cu 0.8183 3.9837 1.9726
Cu 3.9837 8.9928 1.9726
Cu 5.8274 0.8183 1.9726
Bi 2.0586 8.6397 0.0000
Bi 7.7526 1.1714 0.0000
Bi 1.1714 2.0586 0.0000
Bi 8.6397 7.7526 0.0000
Bi 6.9641 3.7341 1.9726
Bi 2.8470 6.0770 1.9726
Bi 6.0770 6.9641 1.9726
Bi 3.7341 2.8470 1.9726
```

Calculated values
The final energy is -3.832 eV per atom. For the size of the total moment, the calculation gives 0.00 Bohr magnetons per cell. The energy of formation is 0.157 eV per atom.



4.
The following is a PBE-GGA calculation of crystalline CuBi at its relaxed geometry, from the Alexandria database.

```
16
Lattice="9.3559 0.0000 0.0000 0.0000 9.3559 0.0000 0.0000 0.0000 4.5650" Properties=species:S:1:pos:R:3 pbc="T T T"
Cu 4.1171 6.3143 0.0000
Cu 5.2388 3.0416 0.0000
Cu 3.0416 4.1171 0.0000
Cu 6.3143 5.2388 0.0000
Cu 8.7950 1.6363 2.2825
Cu 0.5609 7.7196 2.2825
Cu 7.7196 8.7950 2.2825
Cu 1.6363 0.5609 2.2825
Bi 3.0818 1.3552 0.0000
Bi 6.2741 8.0007 0.0000
Bi 8.0007 3.0818 0.0000
Bi 1.3552 6.2741 0.0000
Bi 7.7598 6.0332 2.2825
Bi 1.5962 3.3227 2.2825
Bi 3.3227 7.7598 2.2825
Bi 6.0332 1.5962 2.2825
```

Calculated values
The final energy is -3.742 eV per atom. For the size of the total moment, the calculation gives 0.00 Bohr magnetons per cell. The energy of formation is 0.247 eV per atom.



5.
The following is a PBE-GGA calculation of crystalline CuBi at its relaxed geometry, from the Alexandria database.

```
12
Lattice="4.2669 0.0000 0.0000 0.0000 6.6452 0.0000 0.0000 0.0000 9.7230" Properties=species:S:1:pos:R:3 pbc="T T T"
Cu 0.0000 4.0354 7.5929
Cu 2.1335 2.6098 6.9917
Cu 2.1335 2.6098 2.7314
Cu 0.0000 4.0354 2.1301
Cu 0.0000 5.4789 0.0000
Cu 2.1335 1.1663 4.8615
Bi 0.0000 1.0945 8.0262
Bi 2.1335 5.5507 6.5583
Bi 2.1335 5.5507 3.1647
Bi 0.0000 1.0945 1.6968
Bi 0.0000 3.0015 4.8615
Bi 2.1335 3.6437 0.0000
```

Calculated values
The final energy is -3.771 eV per atom. For the size of the total moment, the calculation gives 0.00 Bohr magnetons per cell. The energy of formation is 0.217 eV per atom.



6.
The following is a PBE-GGA calculation of crystalline CuBi at its relaxed geometry, from the Alexandria database.

```
12
Lattice="-7.5636 -6.3927 -5.8252 2.1820 -3.1627 0.6377 -2.9196 -1.0235 4.9140" Properties=species:S:1:pos:R:3 pbc="T T T"
Cu -3.3282 -2.6213 -1.6128
Cu -5.0103 -4.0430 -2.9083
Cu -7.4788 -7.9108 -1.7495
Cu -1.5973 -2.9398 2.7802
Cu -1.2514 -0.4387 2.1062
Cu -5.4020 -5.7281 1.9694
Bi -4.2409 -2.5880 1.6754
Bi -7.3513 -5.2169 -0.7201
Bi -5.4719 -6.8540 -3.3753
Bi -1.0187 -3.0902 0.0543
Bi -2.7098 -0.9499 4.5610
Bi -3.9408 -5.2159 -0.4898
```

Calculated values
The final energy is -3.798 eV per atom. For the size of the total moment, the calculation gives 0.00 Bohr magnetons per cell. The energy of formation is 0.190 eV per atom.



7.
The following is a PBE-GGA calculation of crystalline CuBi at its relaxed geometry, from the Alexandria database.

```
12
Lattice="-2.2227 0.7759 8.9564 4.8879 -7.2944 -2.9427 3.7354 2.2062 0.7359" Properties=species:S:1:pos:R:3 pbc="T T T"
Cu -0.1933 0.7660 5.2621
Cu 4.4118 -2.1347 3.7381
Cu 1.4486 -2.6764 7.2484
Cu 6.5938 -5.0784 1.4875
Cu 1.9887 -2.1777 3.0116
Cu 4.9520 -1.6360 -0.4988
Bi 0.0287 -0.4782 7.8655
Bi 5.8335 -4.6387 4.0287
Bi 2.6482 -3.9361 4.9356
Bi 6.3719 -3.8342 -1.1159
Bi 0.5671 0.3263 2.7210
Bi 3.7523 -0.3763 1.8141
```

Calculated values
The final energy is -3.655 eV per atom. For the size of the total moment, the calculation gives 0.00 Bohr magnetons per cell. The energy of formation is 0.333 eV per atom.



8.
The following is a PBE-GGA calculation of crystalline Dy3Cu3Bi4 at its relaxed geometry, from the Alexandria database.

```
20
Lattice="-8.4325 0.8267 0.8695 1.6830 -5.2869 -6.4624 3.2989 -3.1620 7.1879" Properties=species:S:1:pos:R:3 pbc="T T T"
Dy -1.1215 -6.2152 1.9860
Dy -4.8959 -2.5745 3.6377
Dy 0.4018 -2.6697 -0.5178
Dy -0.4776 -2.7223 4.9092
Dy -0.2231 -4.8146 -4.5388
Dy -4.0354 -3.8700 -0.6914
Cu 1.4453 -5.0475 -2.0427
Cu -2.3291 -1.4069 -0.3911
Cu -2.9729 -4.8998 -3.3142
Cu -3.8524 -4.9524 2.1127
Cu 0.5848 -3.7521 2.2864
Cu -3.2274 -2.8075 6.1337
Bi 1.1013 -1.0556 2.3995
Bi -2.0050 -2.9325 1.8714
Bi -4.7896 -0.8532 0.6998
Bi 2.7507 -2.6365 5.9934
Bi -6.1897 -1.9541 -2.5062
Bi -1.1634 -5.5759 -1.3598
Bi -1.9735 -2.3674 -2.9409
Bi 1.9176 -5.4910 0.6278
```

Calculated values
The final energy is -4.670 eV per atom. For the size of the total moment, the calculation gives 0.00 Bohr magnetons per cell. The energy of formation is -0.508 eV per atom.



Which value of energy of formation does entry 2 give? 0.482 eV per atom



Number 7 is which compound? CuBi